This record from Alexandria via LeMat-Bulk describes Li2Cr3CuO8 after structural relaxation. The functional is PBE+U.

## Properties
Distance to the lowest polymorph of the same formula (meV per atom): 10
Final energy (eV for the cell shown): -367.903
Spin magnetization (μB per formula unit): 9.0

Geometry as CIF:
```
data_Li2Cr3CuO8
_cell_length_a 8.353
_cell_length_b 8.353
_cell_length_c 8.368
_cell_angle_alpha 90.05
_cell_angle_beta 90.05
_cell_angle_gamma 90.05
_space_group_name_H-M_alt 'P 1'
_space_group_IT_number 1
loop_
_space_group_symop_operation_xyz
'x,y,z'
loop_
_atom_site_label
_atom_site_type_symbol
_atom_site_fract_x
_atom_site_fract_y
_atom_site_fract_z
Li1 Li 0.123 0.123 0.126
Li2 Li 0.124 0.628 0.626
Li3 Li 0.372 0.876 0.374
Li4 Li 0.376 0.377 0.875
Li5 Li 0.623 0.624 0.125
Li6 Li 0.625 0.128 0.621
Li7 Li 0.872 0.375 0.379
Li8 Li 0.877 0.877 0.874
Cr1 Cr 0.000 0.000 0.500
Cr2 Cr 0.248 0.251 0.500
Cr3 Cr 0.248 0.501 0.254
Cr4 Cr 0.249 0.005 0.749
Cr5 Cr 0.498 0.248 0.251
Cr6 Cr 0.499 0.752 0.746
Cr7 Cr 0.500 0.001 0.001
Cr8 Cr 0.749 0.752 0.500
Cr9 Cr 0.752 0.248 0.000
Cr10 Cr 0.752 0.502 0.749
Cr11 Cr 0.995 0.751 0.251
Cr12 Cr 0.999 0.500 0.999
Cu1 Cu 0.000 0.253 0.751
Cu2 Cu 0.248 0.752 0.000
Cu3 Cu 0.496 0.504 0.500
Cu4 Cu 0.747 0.000 0.249
O1 O 0.006 0.730 0.011
O2 O 0.015 0.515 0.240
O3 O 0.019 0.242 0.515
O4 O 0.021 0.012 0.741
O5 O 0.230 0.740 0.236
O6 O 0.232 0.508 0.018
O7 O 0.240 0.015 0.513
O8 O 0.253 0.234 0.732
O9 O 0.254 0.264 0.270
O10 O 0.255 0.492 0.483
O11 O 0.260 0.770 0.764
O12 O 0.270 0.994 0.989
O13 O 0.475 0.491 0.256
O14 O 0.480 0.268 0.492
O15 O 0.485 0.985 0.760
O16 O 0.492 0.768 0.982
O17 O 0.508 0.745 0.517
O18 O 0.509 0.230 0.011
O19 O 0.509 0.525 0.744
O20 O 0.511 0.009 0.236
O21 O 0.732 0.006 0.013
O22 O 0.732 0.520 0.508
O23 O 0.736 0.746 0.730
O24 O 0.738 0.239 0.240
O25 O 0.758 0.981 0.485
O26 O 0.761 0.262 0.760
O27 O 0.766 0.747 0.268
O28 O 0.770 0.491 0.989
O29 O 0.985 0.760 0.487
O30 O 0.988 0.979 0.259
O31 O 0.991 0.489 0.764
O32 O 0.994 0.268 0.987
```